(1)
Below is ErTlN after structural relaxation, with properties calculated at the PBE level.

Results
Symmetry ... Pmmn, No. 59
ΔE_f (raw) ... -800 meV/atom
Mass density ... 10.2 Mg/m³

a = 3.7455 Å, b = 4.6660 Å, c = 7.1884 Å
α = 90.00°, β = 90.00°, γ = 90.00°
Positions (direct):
1 Er 0.2500 0.2500 0.1067
2 Er 0.7500 0.7500 0.8933
3 Tl 0.2500 0.2500 0.6141
4 Tl 0.7500 0.7500 0.3859
5 N 0.2500 0.7500 0.0648
6 N 0.7500 0.2500 0.9352

***

(2)
Below is Pm5DyTh2 after structural relaxation, with properties calculated at the PBE level.

Results
ΔE_f ... 0.10 eV per atom
Symmetry ... Immm, No. 71
Mass density ... 8.3 Mg/m³

a = 8.9614 Å, b = 8.9614 Å, c = 8.9614 Å
α = 157.15°, β = 101.22°, γ = 83.33°
Positions (direct):
1 Pm 0.0000 0.0000 0.0000
2 Pm 0.1080 0.3700 0.7380
3 Pm 0.3680 0.6300 0.7380
4 Pm 0.6320 0.3700 0.2620
5 Pm 0.8920 0.6300 0.2620
6 Dy 0.5000 0.0000 0.5000
7 Th 0.2583 0.2583 0.0000
8 Th 0.7417 0.7417 0.0000

***

(3)
Below is Pm5DyIr4 after structural relaxation, with properties calculated at the PBE level.

Results
ΔE_f ... -0.64 eV per atom
Symmetry ... C2/m, No. 12
Mass density ... 10.8 Mg/m³

a = 7.8839 Å, b = 7.8839 Å, c = 7.0064 Å
α = 90.26°, β = 90.26°, γ = 35.68°
Positions (direct):
1 Pm 0.0000 0.0000 0.0000
2 Pm 0.3343 0.3343 0.9989
3 Pm 0.3346 0.3346 0.5002
4 Pm 0.6654 0.6654 0.4998
5 Pm 0.6657 0.6657 0.0011
6 Dy 0.0000 0.0000 0.5000
7 Ir 0.1639 0.1639 0.7500
8 Ir 0.4927 0.4927 0.7441
9 Ir 0.5073 0.5073 0.2559
10 Ir 0.8361 0.8361 0.2500

***

(4)
Below is ErMnFeSi2 after structural relaxation, with properties calculated at the PBE level.

Results
Symmetry ... I-4m2, No. 119
ΔE_f (raw) ... -657 meV/atom
Mass density ... 7.3 Mg/m³

a = 5.7468 Å, b = 5.7468 Å, c = 5.7468 Å
α = 140.67°, β = 140.67°, γ = 56.84°
Positions (direct):
1 Er 0.0000 0.0000 0.0000
2 Mn 0.2500 0.7500 0.5000
3 Fe 0.7500 0.2500 0.5000
4 Si 0.3785 0.3785 0.0000
5 Si 0.6215 0.6215 0.0000

***

(5)
Below is Sc2PtC after structural relaxation, with properties calculated at the PBE level.

Results
ΔE_f ... -0.39 eV per atom
Symmetry ... I-42d, No. 122
Mass density ... 6.9 Mg/m³

a = 5.7210 Å, b = 5.7210 Å, c = 5.7210 Å
α = 112.58°, β = 112.58°, γ = 103.42°
Positions (direct):
1 Sc 0.0559 0.6250 0.9309
2 Sc 0.3750 0.3059 0.4309
3 Sc 0.6941 0.1250 0.0691
4 Sc 0.8750 0.9441 0.5691
5 Pt 0.2500 0.7500 0.5000
6 Pt 0.5000 0.5000 0.0000
7 C 0.0000 0.0000 0.0000
8 C 0.7500 0.2500 0.5000

***

(6)
Below is Sb2PBr after structural relaxation, with properties calculated at the PBE level.

Results
Symmetry ... C2/m, No. 12
ΔE_f (raw) ... 70 meV/atom
Mass density ... 5.5 Mg/m³

a = 4.5759 Å, b = 4.5759 Å, c = 7.0824 Å
α = 103.90°, β = 103.90°, γ = 48.97°
Positions (direct):
1 Sb 0.2412 0.2412 0.1821
2 Sb 0.7588 0.7588 0.8179
3 P 0.5000 0.5000 0.0000
4 Br 0.0000 0.0000 0.5000